(1)
GGA-PBE Pm2TeSe, relaxed; DOS at the Fermi energy = 0.68 states/eV per atom; energy relative to the elements, uncorrected = -1603 meV per atom; E = -5.635 eV per atom
1.0
4.303 0.000 0.000
0.000 6.145 0.000
0.000 0.000 8.738
Pm Te Se
4 2 2
direct
0.250 0.250 0.109 Pm
0.250 0.250 0.653 Pm
0.750 0.750 0.347 Pm
0.750 0.750 0.891 Pm
0.250 0.750 0.619 Te
0.750 0.250 0.381 Te
0.250 0.750 0.119 Se
0.750 0.250 0.881 Se

(2)
GGA-PBE BaAg3, relaxed; DFT formation energy = -18 kJ per mole of atoms; DOS at the Fermi energy = 0.23 states/eV per atom; E = -2.808 eV per atom
1.0
2.414 1.394 5.585
-2.414 1.394 5.585
0.000 -2.788 5.585
Ba Ag
1 3
direct
0.000 0.000 0.000 Ba
0.200 0.200 0.200 Ag
0.500 0.500 0.500 Ag
0.800 0.800 0.800 Ag

Number 1: energy above the lowest structure with this stoichiometry 48 meV/atom. Number 2: energy above the lowest structure with this stoichiometry 0 meV/atom.